Na2Cd2Au3: optimized geometry, PBE.

Properties
The space group is C2/m, No. 12. As for the formation energy: -270 meV/atom. Its total energy is -2.313 eV per atom.

abc: 4.659 6.868 8.203
angles: 135.03 90.00 109.83
Sites, in units of the cell vectors:
Au 0.532 0.063 0.375
Au 0.500 0.000 0.000
Au 0.468 0.937 0.625
Cd 0.869 0.738 0.696
Cd 0.131 0.262 0.304
Na 0.187 0.373 0.782
Na 0.813 0.627 0.218